(1)
This record from the Alexandria database describes TcMo2Os at its PBEsol-relaxed geometry. The functional is meta-GGA SCAN.

**E_tot**: -176.031 eV/cell
**ΔE_f**: 0.170 eV per atom
**N(E_F)**: 0.918 states/eV/atom
**Symmetry**: No. 12

Cell lengths 2.7512, 4.7557, 4.7603 Å; angles 99.55, 90.00, 106.81 degrees
Last column: nearest neighbours and their distance in Å.
Sites, in units of the cell vectors:
Os (0.0000, 0.0000, 0.5000)  6 Mo 2.72-2.77, 4 Tc 2.75, 2 Os 2.75
Mo (0.7464, 0.4928, 0.7477)  3 Os 2.72-2.77, 3 Tc 2.72-2.78, 6 Mo 2.74-2.76
Mo (0.2536, 0.5072, 0.2523)  3 Os 2.72-2.77, 3 Tc 2.72-2.78, 6 Mo 2.74-2.76
Tc (0.5000, 0.0000, 0.0000)  6 Mo 2.72-2.78, 4 Os 2.75, 2 Tc 2.75


(2)
This record from the Alexandria database describes ZrScSb2 at its PBEsol-relaxed geometry. The functional is meta-GGA SCAN.

**E_tot**: -122.829 eV/cell
**Formation energy from raw total energies**: -843 meV per atom
**N(E_F)**: 0.479 states/eV/atom
**Symmetry**: No. 166

Cell lengths 4.0649, 4.0649, 7.1493 Å; angles 73.48, 73.48, 60.00 degrees
Last column: nearest neighbours and their distance in Å.
Sites, in units of the cell vectors:
Sb (0.7509, 0.7509, 0.7472)  3 Sc 2.88, 3 Zr 2.90
Sb (0.2491, 0.2491, 0.2528)  3 Sc 2.88, 3 Zr 2.90
Sc (0.5000, 0.5000, 0.5000)  6 Sb 2.88
Zr (0.0000, 0.0000, 0.0000)  6 Sb 2.90


(3)
This record from the Alexandria database describes BaHg3Au at its PBEsol-relaxed geometry. The functional is meta-GGA SCAN.

**E_tot**: -314.937 eV/cell
**ΔE_f**: -0.346 eV per atom
**N(E_F)**: 0.454 states/eV/atom
**Symmetry**: No. 221

Cell lengths 5.2954, 5.2954, 5.2954 Å; angles 90.00, 90.00, 90.00 degrees
Last column: nearest neighbours and their distance in Å.
Sites, in units of the cell vectors:
Hg (0.5000, 0.0000, 0.0000)  2 Au 2.65
Hg (0.0000, 0.0000, 0.5000)  2 Au 2.65
Hg (0.0000, 0.5000, 0.0000)  2 Au 2.65
Ba (0.5000, 0.5000, 0.5000)  12 Hg 3.74
Au (0.0000, 0.0000, 0.0000)  6 Hg 2.65


(4)
This record from the Alexandria database describes TiAgIr3 at its PBEsol-relaxed geometry. The functional is meta-GGA SCAN.

**E_tot**: -249.639 eV/cell
**ΔE_f**: 2.211 eV per atom
**N(E_F)**: 0.843 states/eV/atom
**Symmetry**: No. 221

Cell lengths 4.6450, 4.6450, 4.6450 Å; angles 90.00, 90.00, 90.00 degrees
Last column: nearest neighbours and their distance in Å.
Sites, in units of the cell vectors:
Ag (0.0000, 0.0000, 0.0000)  6 Ir 2.32
Ir (0.0000, 0.5000, 0.0000)  2 Ag 2.32
Ir (0.0000, 0.0000, 0.5000)  2 Ag 2.32
Ir (0.5000, 0.0000, 0.0000)  2 Ag 2.32
Ti (0.5000, 0.5000, 0.5000)  12 Ir 3.28


(5)
This record from the Alexandria database describes Mg2AlSb at its PBEsol-relaxed geometry. The functional is meta-GGA SCAN.

**E_tot**: -55.187 eV/cell
**Formation energy from raw total energies**: -57 meV per atom
**N(E_F)**: 0.410 states/eV/atom
**Symmetry**: No. 119

Cell lengths 4.2040, 4.2040, 5.6777 Å; angles 111.73, 111.73, 90.00 degrees
Last column: nearest neighbours and their distance in Å.
Sites, in units of the cell vectors:
Mg (0.7500, 0.2500, 0.5000)  4 Al 2.97, 4 Sb 3.20, 4 Mg 3.20
Mg (0.0000, 0.0000, 0.0000)  4 Sb 2.97, 4 Mg 3.20, 4 Al 3.20
Al (0.2500, 0.7500, 0.5000)  8 Mg 2.97-3.20, 4 Sb 3.20
Sb (0.5000, 0.5000, 0.0000)  8 Mg 2.97-3.20, 4 Al 3.20


(6)
This record from the Alexandria database describes CaZnW2 at its PBEsol-relaxed geometry. The functional is meta-GGA SCAN.

**E_tot**: -161.008 eV/cell
**ΔE_f**: 0.387 eV per atom
**N(E_F)**: 0.942 states/eV/atom
**Symmetry**: No. 6

Cell lengths 3.2793, 3.2248, 7.0893 Å; angles 90.00, 91.19, 90.00 degrees
Last column: nearest neighbours and their distance in Å.
Sites, in units of the cell vectors:
Zn (0.9962, 0.0000, 0.4543)  5 W 2.77-2.79
Ca (0.5078, 0.5000, 0.7483)  4 Zn 3.10-3.11, 5 W 3.18-3.46, 4 Ca 3.22-3.28
W (0.0112, 0.0000, 0.0610)  4 W 2.55-2.69, 1 Zn 2.79
W (0.4849, 0.5000, 0.2364)  4 W 2.55-2.69, 4 Zn 2.77


(7)
This record from the Alexandria database describes CuPPb at its PBEsol-relaxed geometry. The functional is meta-GGA SCAN.

**E_tot**: -202.659 eV/cell
**ΔE_f**: 0.016 eV per atom
**N(E_F)**: 0.246 states/eV/atom
**Symmetry**: No. 194

Cell lengths 3.9326, 3.9326, 8.7012 Å; angles 90.00, 90.00, 120.00 degrees
Last column: nearest neighbours and their distance in Å.
Sites, in units of the cell vectors:
Cu (0.3333, 0.6667, 0.2500)  3 P 2.27
Cu (0.6667, 0.3333, 0.7500)  3 P 2.27
Pb (0.0000, 0.0000, 0.0000)  6 Cu 3.14, 6 P 3.14
Pb (0.0000, 0.0000, 0.5000)  6 Cu 3.14, 6 P 3.14
P (0.6667, 0.3333, 0.2500)  3 Cu 2.27
P (0.3333, 0.6667, 0.7500)  3 Cu 2.27


(8)
This record from the Alexandria database describes TaN2ClF at its PBEsol-relaxed geometry. The functional is meta-GGA SCAN.

**E_tot**: -98.193 eV/cell
**Formation energy from raw total energies**: -302 meV per atom
**N(E_F)**: 0.680 states/eV/atom
**Symmetry**: No. 123

Cell lengths 4.0315, 4.0645, 4.0645 Å; angles 90.00, 90.00, 90.00 degrees
Last column: nearest neighbours and their distance in Å.
Sites, in units of the cell vectors:
Ta (0.0000, 0.0000, 0.0000)  2 F 2.02, 4 N 2.03
N (0.0000, 0.5000, 0.0000)  2 Ta 2.03
N (0.0000, 0.0000, 0.5000)  2 Ta 2.03
Cl (0.5000, 0.5000, 0.5000)  8 N 2.86, 4 F 2.87
F (0.5000, 0.0000, 0.0000)  2 Ta 2.02


(9)
This record from the Alexandria database describes ZnCrAg at its PBEsol-relaxed geometry. The functional is meta-GGA SCAN.

**E_tot**: -62.940 eV/cell
**ΔE_f**: 0.109 eV per atom
**N(E_F)**: 0.263 states/eV/atom
**Symmetry**: No. 107

Cell lengths 3.2040, 3.2040, 4.9307 Å; angles 108.96, 108.96, 90.00 degrees
Last column: nearest neighbours and their distance in Å.
Sites, in units of the cell vectors:
Ag (0.9962, 0.9962, 0.9924)  5 Zn 2.69-2.92, 5 Cr 2.75-2.82
Zn (0.3300, 0.3300, 0.6600)  4 Cr 2.65, 5 Ag 2.69-2.92
Cr (0.6738, 0.6738, 0.3475)  4 Zn 2.65, 5 Ag 2.75-2.82


(10)
This record from the Alexandria database describes AlCr2Fe at its PBEsol-relaxed geometry. The functional is meta-GGA SCAN.

**E_tot**: -62.989 eV/cell
**ΔE_f**: -0.085 eV per atom
**N(E_F)**: 0.069 states/eV/atom
**Symmetry**: No. 225

Cell lengths 4.0801, 4.0801, 4.0801 Å; angles 60.00, 60.00, 60.00 degrees
Last column: nearest neighbours and their distance in Å.
Sites, in units of the cell vectors:
Cr (0.7500, 0.7500, 0.7500)  4 Fe 2.50, 4 Al 2.50
Cr (0.2500, 0.2500, 0.2500)  4 Fe 2.50, 4 Al 2.50
Al (0.0000, 0.0000, 0.0000)  8 Cr 2.50
Fe (0.5000, 0.5000, 0.5000)  8 Cr 2.50


(11)
This record from the Alexandria database describes Zr3TiNi at its PBEsol-relaxed geometry. The functional is meta-GGA SCAN.

**E_tot**: -118.854 eV/cell
**ΔE_f**: 1.089 eV per atom
**N(E_F)**: 1.254 states/eV/atom
**Symmetry**: No. 221

Cell lengths 4.7868, 4.7868, 4.7868 Å; angles 90.00, 90.00, 90.00 degrees
Last column: nearest neighbours and their distance in Å.
Sites, in units of the cell vectors:
Ni (0.5000, 0.5000, 0.5000)  12 Zr 3.38
Ti (0.0000, 0.0000, 0.0000)  6 Zr 2.39
Zr (0.0000, 0.0000, 0.5000)  2 Ti 2.39
Zr (0.5000, 0.0000, 0.0000)  2 Ti 2.39
Zr (0.0000, 0.5000, 0.0000)  2 Ti 2.39


(12)
This record from the Alexandria database describes SrMgZr2 at its PBEsol-relaxed geometry. The functional is meta-GGA SCAN.

**E_tot**: -86.613 eV/cell
**ΔE_f**: 0.508 eV per atom
**N(E_F)**: 1.177 states/eV/atom
**Symmetry**: No. 123

Cell lengths 4.5769, 4.5769, 4.8896 Å; angles 90.00, 90.00, 90.00 degrees
Last column: nearest neighbours and their distance in Å.
Sites, in units of the cell vectors:
Mg (0.5000, 0.5000, 0.5000)  4 Sr 3.24, 8 Zr 3.35
Sr (0.0000, 0.0000, 0.5000)  4 Mg 3.24, 8 Zr 3.35
Zr (0.0000, 0.5000, 0.0000)  4 Zr 3.24, 4 Mg 3.35, 4 Sr 3.35
Zr (0.5000, 0.0000, 0.0000)  4 Zr 3.24, 4 Mg 3.35, 4 Sr 3.35


(13)
This record from the Alexandria database describes FeCoSn4 at its PBEsol-relaxed geometry. The functional is meta-GGA SCAN.

**E_tot**: -178.213 eV/cell
**ΔE_f**: 0.151 eV per atom
**N(E_F)**: 0.638 states/eV/atom
**Symmetry**: No. 97

Cell lengths 5.2047, 5.2047, 5.2047 Å; angles 105.52, 105.52, 117.69 degrees
Last column: nearest neighbours and their distance in Å.
Sites, in units of the cell vectors:
Sn (0.4159, 0.5841, 0.5000)  2 Co 2.71, 2 Fe 2.71, 1 Sn 2.96
Sn (0.0841, 0.9159, 0.5000)  2 Fe 2.71, 2 Co 2.71, 1 Sn 2.96
Sn (0.9159, 0.4159, 0.8318)  2 Co 2.71, 2 Fe 2.71, 1 Sn 2.96
Sn (0.5841, 0.0841, 0.1682)  2 Fe 2.71, 2 Co 2.71, 1 Sn 2.96
Co (0.0000, 0.0000, 0.0000)  2 Fe 2.69, 8 Sn 2.71
Fe (0.5000, 0.5000, 0.0000)  2 Co 2.69, 8 Sn 2.71


(14)
This record from the Alexandria database describes Nd2Si5Rh3 at its PBEsol-relaxed geometry. The functional is meta-GGA SCAN.

**E_tot**: -498.190 eV/cell
**Formation energy from raw total energies**: -1054 meV per atom
**N(E_F)**: 0.425 states/eV/atom
**Symmetry**: No. 72

Cell lengths 5.7728, 8.1666, 8.1666 Å; angles 74.32, 69.30, 69.30 degrees
Last column: nearest neighbours and their distance in Å.
Sites, in units of the cell vectors:
Rh (0.8610, 0.0310, 0.2470)  5 Si 2.36-2.42
Rh (0.1390, 0.9690, 0.7530)  5 Si 2.36-2.42
Rh (0.6390, 0.7530, 0.9690)  5 Si 2.36-2.42
Rh (0.3610, 0.2470, 0.0310)  5 Si 2.36-2.42
Rh (0.7500, 0.5000, 0.5000)  6 Si 2.44-2.60
Rh (0.2500, 0.5000, 0.5000)  6 Si 2.44-2.60
Si (0.4731, 0.2769, 0.2769)  3 Rh 2.41-2.60, 2 Si 2.51
Si (0.5269, 0.7231, 0.7231)  3 Rh 2.41-2.60, 2 Si 2.51
Si (0.6057, 0.5499, 0.2388)  3 Rh 2.36-2.44, 2 Si 2.51
Si (0.9731, 0.2769, 0.2769)  3 Rh 2.41-2.60, 2 Si 2.51
Si (0.7500, 0.0000, 0.0000)  4 Rh 2.42
Si (0.2500, 0.0000, 0.0000)  4 Rh 2.42
Si (0.8943, 0.7612, 0.4501)  3 Rh 2.36-2.44, 2 Si 2.51
Si (0.3943, 0.4501, 0.7612)  3 Rh 2.36-2.44, 2 Si 2.51
Si (0.1057, 0.2388, 0.5499)  3 Rh 2.36-2.44, 2 Si 2.51
Si (0.0269, 0.7231, 0.7231)  3 Rh 2.41-2.60, 2 Si 2.51
Nd (0.8687, 0.3640, 0.8986)  10 Si 2.98-3.20, 3 Rh 3.11-3.14
Nd (0.3687, 0.8986, 0.3640)  10 Si 2.98-3.20, 3 Rh 3.11-3.14
Nd (0.6313, 0.1014, 0.6360)  10 Si 2.98-3.20, 3 Rh 3.11-3.14
Nd (0.1313, 0.6360, 0.1014)  10 Si 2.98-3.20, 3 Rh 3.11-3.14


(15)
This record from the Alexandria database describes CsSeBr3 at its PBEsol-relaxed geometry. The functional is meta-GGA SCAN.

**E_tot**: -241.569 eV/cell
**Formation energy from raw total energies**: -903 meV per atom
**N(E_F)**: 0.000 states/eV/atom
**Symmetry**: No. 1

Cell lengths 7.5698, 8.0424, 7.7713 Å; angles 108.21, 110.37, 111.75 degrees
Last column: nearest neighbours and their distance in Å.
Sites, in units of the cell vectors:
Se (0.8416, 0.4050, 0.7139)  3 Br 2.48-2.72, 1 Se 2.54
Se (0.8414, 0.3336, 0.3711)  3 Br 2.44-2.59, 1 Se 2.54
Cs (0.3065, 0.0583, 0.6239)  8 Br 3.58-4.00, 1 Se 3.62
Cs (0.3766, 0.5935, 0.1597)  8 Br 3.58-4.00, 1 Se 3.62
Br (0.8418, 0.5775, 0.0755)  1 Se 2.72
Br (0.8418, 0.6803, 0.5965)  2 Se 2.64-2.79
Br (0.8409, 0.0180, 0.2219)  1 Se 2.44
Br (0.2740, 0.5551, 0.5824)  1 Se 2.59
Br (0.4089, 0.1233, 0.1492)  1 Se 2.59
Br (0.8419, 0.1028, 0.7332)  1 Se 2.48


(16)
This record from the Alexandria database describes LiNiP2O7 at its PBEsol-relaxed geometry. The functional is meta-GGA SCAN.

**E_tot**: -425.402 eV/cell
**Formation energy from raw total energies**: -2125 meV per atom
**Symmetry**: No. 7

Cell lengths 5.0444, 7.9153, 12.6176 Å; angles 104.21, 90.00, 90.00 degrees
Last column: nearest neighbours and their distance in Å.
Sites, in units of the cell vectors:
O (0.3602, 0.5385, 0.2310)  1 P 1.52
O (0.6822, 0.4659, 0.7216)  1 P 1.55
O (0.6562, 0.3248, 0.0760)  1 P 1.49
O (0.3387, 0.6713, 0.9880)  1 P 1.54
O (0.6398, 0.0385, 0.7310)  1 P 1.52
O (0.9433, 0.6317, 0.1090)  1 P 1.53
O (0.1497, 0.0121, 0.7800)  1 P 1.55
O (0.8503, 0.5121, 0.2800)  1 P 1.55
O (0.4843, 0.0819, 0.9277)  2 P 1.62-1.63
O (0.3438, 0.8248, 0.5760)  1 P 1.49
O (0.4990, 0.7875, 0.8070)  1 P 1.51
O (0.0166, 0.9155, 0.0645)  2 P 1.61-1.63
O (0.5385, 0.3614, 0.8812)  1 P 1.55
O (0.9590, 0.7145, 0.6937)  1 P 1.52
O (0.3178, 0.9659, 0.2216)  1 P 1.55
O (0.1742, 0.3286, 0.0105)  1 P 1.54
O (0.8140, 0.9649, 0.2534)  1 P 1.52
O (0.1307, 0.1757, 0.4144)  1 P 1.51
O (0.5010, 0.2875, 0.3070)  1 P 1.51
O (0.9834, 0.4155, 0.5645)  2 P 1.61-1.63
O (0.0410, 0.2145, 0.1937)  1 P 1.52
O (0.4615, 0.8614, 0.3812)  1 P 1.55
O (0.5157, 0.5819, 0.4277)  2 P 1.62-1.63
O (0.0567, 0.1317, 0.6090)  1 P 1.53
O (0.8258, 0.8286, 0.5105)  1 P 1.54
O (0.1860, 0.4649, 0.7534)  1 P 1.52
O (0.6613, 0.1713, 0.4880)  1 P 1.54
O (0.8693, 0.6757, 0.9144)  1 P 1.51
Li (0.1005, 0.3577, 0.3392)  4 O 1.92-2.11
Li (0.8995, 0.8577, 0.8392)  4 O 1.92-2.11
Li (0.5588, 0.7612, 0.2089)  4 O 2.00-2.18
Li (0.4412, 0.2612, 0.7089)  4 O 2.00-2.18
P (0.9569, 0.2062, 0.5149)  4 O 1.51-1.63
P (0.5579, 0.4729, 0.3025)  4 O 1.51-1.62
P (0.5315, 0.7906, 0.4816)  4 O 1.49-1.63
P (0.0431, 0.7062, 0.0149)  4 O 1.51-1.63
P (0.4685, 0.2906, 0.9816)  4 O 1.49-1.63
P (0.0398, 0.0218, 0.1908)  4 O 1.52-1.61
P (0.9602, 0.5218, 0.6908)  4 O 1.52-1.61
P (0.4421, 0.9729, 0.8025)  4 O 1.51-1.62
Ni (0.4980, 0.0783, 0.3521)  4 O 1.85-1.90
Ni (0.5020, 0.5783, 0.8521)  4 O 1.85-1.90
Ni (0.9921, 0.9167, 0.6415)  5 O 1.83-2.02
Ni (0.0079, 0.4167, 0.1415)  5 O 1.83-2.02


(17)
This record from the Alexandria database describes NiOsRh2 at its PBEsol-relaxed geometry. The functional is meta-GGA SCAN.

**E_tot**: -155.387 eV/cell
**ΔE_f**: 0.052 eV per atom
**N(E_F)**: 0.986 states/eV/atom
**Symmetry**: No. 123

Cell lengths 2.6675, 2.6675, 7.2725 Å; angles 90.00, 90.00, 90.00 degrees
Last column: nearest neighbours and their distance in Å.
Sites, in units of the cell vectors:
Os (0.5000, 0.5000, 0.5000)  8 Rh 2.65, 4 Os 2.67
Rh (0.0000, 0.0000, 0.2438)  4 Ni 2.59, 4 Os 2.65, 4 Rh 2.67
Rh (0.0000, 0.0000, 0.7562)  4 Ni 2.59, 4 Os 2.65, 4 Rh 2.67
Ni (0.5000, 0.5000, 0.0000)  8 Rh 2.59, 4 Ni 2.67


(18)
This record from the Alexandria database describes CsBa2NaAu at its PBEsol-relaxed geometry. The functional is meta-GGA SCAN.

**E_tot**: -191.572 eV/cell
**ΔE_f**: -0.258 eV per atom
**N(E_F)**: 0.640 states/eV/atom
**Symmetry**: No. 123

Cell lengths 6.3477, 6.3477, 6.8525 Å; angles 90.00, 90.00, 90.00 degrees
Last column: nearest neighbours and their distance in Å.
Sites, in units of the cell vectors:
Ba (0.5000, 0.0000, 0.0000)  2 Au 3.17
Ba (0.0000, 0.5000, 0.0000)  2 Au 3.17
Cs (0.0000, 0.0000, 0.5000)  2 Au 3.43
Na (0.5000, 0.5000, 0.5000)  4 Cs 4.49, 8 Ba 4.67
Au (0.0000, 0.0000, 0.0000)  4 Ba 3.17, 2 Cs 3.43


(19)
This record from the Alexandria database describes MnTeSe2N at its PBEsol-relaxed geometry. The functional is meta-GGA SCAN.

**E_tot**: -104.224 eV/cell
**Formation energy from raw total energies**: 146 meV per atom
**N(E_F)**: 0.466 states/eV/atom
**Symmetry**: No. 123

Cell lengths 3.4916, 4.9579, 4.9579 Å; angles 90.00, 90.00, 90.00 degrees
Last column: nearest neighbours and their distance in Å.
Sites, in units of the cell vectors:
N (0.5000, 0.0000, 0.0000)  2 Mn 1.75
Te (0.5000, 0.5000, 0.5000)  8 Se 3.03
Mn (0.0000, 0.0000, 0.0000)  2 N 1.75
Se (0.0000, 0.0000, 0.5000)  2 Mn 2.48
Se (0.0000, 0.5000, 0.0000)  2 Mn 2.48


(20)
This record from the Alexandria database describes Li2GaCuAu at its PBEsol-relaxed geometry. The functional is meta-GGA SCAN.

**E_tot**: -104.713 eV/cell
**ΔE_f**: 0.154 eV per atom
**N(E_F)**: 0.353 states/eV/atom
**Symmetry**: No. 123

Cell lengths 4.5992, 4.5992, 4.7951 Å; angles 90.00, 90.00, 90.00 degrees
Last column: nearest neighbours and their distance in Å.
Sites, in units of the cell vectors:
Ga (0.5000, 0.5000, 0.5000)  4 Cu 3.25, 8 Li 3.32
Cu (0.0000, 0.0000, 0.5000)  2 Au 2.40
Au (0.0000, 0.0000, 0.0000)  4 Li 2.30, 2 Cu 2.40
Li (0.0000, 0.5000, 0.0000)  2 Au 2.30
Li (0.5000, 0.0000, 0.0000)  2 Au 2.30